The following is a PBE+U calculation of a relaxed Ho2VO5 crystal, from the Alexandria database.

a = 6.740 Å, b = 7.079 Å, c = 9.196 Å
α = 90.00°, β = 95.07°, γ = 90.00°
Fractional positions:
V1 0.956 0.103 0.310
V2 0.044 0.897 0.690
Ho1 0.955 0.647 0.348
O1 0.863 0.069 0.620
O2 0.455 0.358 0.109
Ho2 0.730 0.880 0.029
V3 0.544 0.603 0.690
O3 0.637 0.569 0.380
O4 0.363 0.431 0.620
O5 0.014 0.672 0.601
O6 0.955 0.142 0.109
Ho3 0.545 0.147 0.652
O7 0.045 0.858 0.891
O8 0.986 0.328 0.399
O9 0.545 0.642 0.891
Ho4 0.270 0.120 0.971
O10 0.262 0.587 0.278
O11 0.486 0.172 0.399
Ho5 0.230 0.620 0.029
Ho6 0.045 0.353 0.652
O12 0.238 0.087 0.722
O13 0.408 0.881 0.103
O14 0.738 0.413 0.722
O15 0.908 0.619 0.103
O16 0.762 0.913 0.278
O17 0.092 0.381 0.897
O18 0.592 0.119 0.897
O19 0.137 0.931 0.380
Ho7 0.455 0.853 0.348
O20 0.514 0.828 0.601
V4 0.456 0.397 0.310
Ho8 0.770 0.380 0.971

Calculated total energy ... -8.199 eV per atom
SG ... P2_1/c, No. 14


The following is a PBE+U calculation of a relaxed K3MoF6 crystal, from the Alexandria database.

a = 7.383 Å, b = 7.383 Å, c = 7.383 Å
α = 91.74°, β = 91.74°, γ = 91.74°
Fractional positions:
K1 0.746 0.939 0.440
F1 0.271 0.066 0.940
F2 0.546 0.226 0.422
Mo1 0.500 0.500 0.500
Mo2 0.000 0.000 0.000
F3 0.934 0.060 0.729
K2 0.560 0.254 0.061
K3 0.440 0.746 0.939
K4 0.254 0.061 0.560
F4 0.060 0.729 0.934
F5 0.940 0.271 0.066
F6 0.774 0.578 0.454
F7 0.578 0.454 0.774
K5 0.939 0.440 0.746
F8 0.226 0.422 0.546
F9 0.422 0.546 0.226
F10 0.066 0.940 0.271
F11 0.454 0.774 0.578
K6 0.061 0.560 0.254
F12 0.729 0.934 0.060

E above lowest polymorph ... 0 meV/atom
Calculated total energy ... -4.951 eV per atom
SG ... R-3, No. 148